VASP calculation (PBE) on a relaxed structure of CrCd3Mo.

Cell and atoms, written as POSCAR:
```
CrCd3Mo
1.0
5.258 0.000 0.000
0.000 5.258 0.000
0.000 0.000 5.258
Cr Cd Mo
1 3 1
Direct
0.000 0.000 0.000
0.000 0.500 0.500
0.500 0.000 0.500
0.500 0.500 0.000
0.500 0.500 0.500
```

## Properties
Offset from the most stable computed form, meV/atom: 211.2
DFT formation energy, eV/atom: 1.84
Symmetry: Pm-3m, No. 221
Calculated total energy, eV/atom: -2.801